DFT (GGA-PBE) results for a relaxed LiNdO2 crystal.

Lattice parameters (Å, degrees): 5.807 6.128 5.810 90.00 102.55 90.00
Element x y z (fractional)
Li (0.165, 0.140, 0.182)
Li (0.165, 0.360, 0.682)
Li (0.835, 0.640, 0.318)
Li (0.835, 0.860, 0.818)
Nd (0.298, 0.571, 0.197)
Nd (0.298, 0.929, 0.697)
Nd (0.702, 0.071, 0.303)
Nd (0.702, 0.429, 0.803)
O (0.073, 0.634, 0.798)
O (0.073, 0.866, 0.298)
O (0.413, 0.239, 0.984)
O (0.413, 0.261, 0.484)
O (0.587, 0.739, 0.516)
O (0.587, 0.761, 0.016)
O (0.927, 0.134, 0.702)
O (0.927, 0.366, 0.202)

Computed properties:
- M_tot: 0.00 μB per cell
- ΔE_f (raw): -2.778 eV/atom
- Calculated density: 6.029 Mg/m³